KNaNpF6: optimized geometry, GGA-PBE.

```
KNaNpF6
1.0
6.1099 0.0000 0.0000
-3.0550 5.2913 0.0000
0.0000 0.0000 10.7675
K Na F Np
2 2 12 2
direct
0.0000 0.0000 0.0000
0.0000 0.0000 0.5000
0.3333 0.6667 0.2500
0.6667 0.3333 0.7500
0.6240 0.6470 0.6423
0.0230 0.6470 0.8577
0.3760 0.0230 0.1423
0.3530 0.9770 0.6423
0.6470 0.0230 0.3577
0.3760 0.3530 0.3577
0.3530 0.3760 0.8577
0.0230 0.3760 0.6423
0.6470 0.6240 0.1423
0.9770 0.3530 0.1423
0.6240 0.9770 0.8577
0.9770 0.6240 0.3577
0.6667 0.3333 0.2500
0.3333 0.6667 0.7500
```

ΔE_f (raw), kJ per mole of atoms: -310.9
M_tot, Bohr magnetons per cell: 6.00